(1)
## Zr6IrRh5 (PBE-GGA)

Data for Zr6IrRh5 after structural relaxation.

Unit cell a=4.6718 b=6.5802 c=8.1117 alpha=113.93 beta=106.74 gamma=90.00
Atoms (fractional coordinates):
Zr (0.8344, 0.0830, 0.6689)
Rh (0.3350, 0.3350, 0.6701)
Zr (0.1656, 0.9170, 0.3311)
Rh (0.6650, 0.6650, 0.3299)
Rh (0.6741, 0.1741, 0.3482)
Rh (0.3259, 0.8259, 0.6518)
Ir (0.0000, 0.0000, 0.0000)
Zr (0.8345, 0.5859, 0.6689)
Zr (0.5001, 0.7526, 0.0000)
Zr (0.1655, 0.4141, 0.3311)
Rh (0.0000, 0.5000, 0.0000)
Zr (0.4999, 0.2474, 0.0000)

Output
- SG = Immm, No. 71
- energy of formation from the pure elements (eV/atom) = -0.7686

(2)
## Zr2Ir5Rh12 (PBE-GGA)

Data for Zr2Ir5Rh12 after structural relaxation.

Unit cell a=5.0875 b=8.1237 c=8.1237 alpha=65.45 beta=76.25 gamma=76.25
Atoms (fractional coordinates):
Zr (0.0000, 0.8067, 0.1933)
Rh (0.1827, 0.5206, 0.0801)
Rh (0.2608, 0.4280, 0.4280)
Rh (0.5667, 0.1387, 0.6516)
Zr (0.0000, 0.1933, 0.8067)
Rh (0.4333, 0.8613, 0.3484)
Rh (0.7392, 0.5720, 0.5720)
Rh (0.8173, 0.4794, 0.9199)
Ir (0.1950, 0.6281, 0.6281)
Ir (0.4492, 0.7904, 0.7904)
Ir (0.5000, 0.0000, 0.0000)
Rh (0.9222, 0.8352, 0.8352)
Rh (0.0778, 0.1648, 0.1648)
Rh (0.4333, 0.3484, 0.8613)
Rh (0.1827, 0.0801, 0.5206)
Rh (0.8173, 0.9199, 0.4794)
Ir (0.8050, 0.3719, 0.3719)
Rh (0.5667, 0.6516, 0.1387)
Ir (0.5508, 0.2096, 0.2096)

Output
- SG = C2/m, No. 12
- energy of formation from the pure elements (eV/atom) = -0.0752

(3)
## ZrIr2Rh2 (PBE-GGA)

Data for ZrIr2Rh2 after structural relaxation.

Unit cell a=6.8283 b=6.8283 c=3.5585 alpha=90.00 beta=90.00 gamma=90.00
Atoms (fractional coordinates):
Rh (0.8347, 0.3347, 0.5000)
Ir (0.6310, 0.1310, 0.0000)
Ir (0.3690, 0.8690, 0.0000)
Ir (0.1310, 0.3690, 0.0000)
Zr (0.5000, 0.5000, 0.0000)
Zr (0.0000, 0.0000, 0.0000)
Rh (0.1653, 0.6653, 0.5000)
Rh (0.6653, 0.8347, 0.5000)
Ir (0.8690, 0.6310, 0.0000)
Rh (0.3347, 0.1653, 0.5000)

Output
- SG = P4/mbm, No. 127
- energy of formation from the pure elements (eV/atom) = -0.1986

(4)
## Zr4IrRh (PBE-GGA)

Data for Zr4IrRh after structural relaxation.

Unit cell a=6.4493 b=6.4496 c=6.4539 alpha=90.00 beta=90.04 gamma=90.00
Atoms (fractional coordinates):
Zr (0.2498, 0.2501, 0.7509)
Zr (0.2501, 0.7501, 0.7508)
Zr (0.7498, 0.2499, 0.7509)
Rh (0.5000, 0.0000, 0.5000)
Rh (0.0000, 0.5000, 0.5000)
Zr (0.2499, 0.2501, 0.2492)
Zr (0.7501, 0.7499, 0.7508)
Zr (0.2502, 0.7501, 0.2491)
Ir (0.5000, 0.5000, 0.0000)
Ir (0.0000, 0.0000, 0.0000)
Zr (0.7502, 0.7499, 0.2491)
Zr (0.7499, 0.2499, 0.2492)

Output
- SG = P4/mmm, No. 123
- energy of formation from the pure elements (eV/atom) = -0.4395
- offset from the most stable computed form (meV/atom) = 166.8

(5)
## IrRu4 (PBE-GGA)

Data for IrRu4 after structural relaxation.

Unit cell a=3.5476 b=3.5476 c=6.6513 alpha=105.46 beta=105.46 gamma=90.03
Atoms (fractional coordinates):
Ru (0.7500, 0.7500, 0.0000)
Ru (0.2500, 0.2500, 0.0000)
Ir (0.5000, 0.0000, 0.5000)
Ru (0.0977, 0.5977, 0.6954)
Ru (0.9023, 0.4023, 0.3046)

Output
- SG = I4/mmm, No. 139
- energy of formation from the pure elements (eV/atom) = 0.6753
- offset from the most stable computed form (meV/atom) = 629.5

(6)
## Ir2Ru3 (PBE-GGA)

Data for Ir2Ru3 after structural relaxation.

Unit cell a=8.0944 b=7.0942 c=5.1319 alpha=81.20 beta=60.01 gamma=38.80
Atoms (fractional coordinates):
Ir (0.3571, 0.5486, 0.1890)
Ru (0.4705, 0.7261, 0.4607)
Ru (0.7893, 0.9072, 0.7795)
Ir (0.9052, 0.1890, 0.5486)
Ir (0.7014, 0.8929, 0.3448)
Ru (0.5239, 0.7795, 0.9072)
Ru (0.1744, 0.3256, 0.3256)
Ir (0.0610, 0.3448, 0.8929)
Ru (0.9244, 0.0756, 0.0756)
Ru (0.3428, 0.4607, 0.7261)

Output
- SG = Fdd2, No. 43
- energy of formation from the pure elements (eV/atom) = 0.1354
- offset from the most stable computed form (meV/atom) = 0.0